Entry 1:
DFT (PBE) results for a relaxed Ac2Te3 crystal.

Space-group type: Pnma

a = 12.9233 Å, b = 4.7051 Å, c = 12.4646 Å
α = 90.00°, β = 90.00°, γ = 90.00°
Atoms (fractional coordinates):
Ac1 0.0104 0.2500 0.1876
Ac2 0.1941 0.2500 0.5039
Ac3 0.3059 0.7500 0.0039
Ac4 0.4896 0.7500 0.6876
Ac5 0.5104 0.2500 0.3124
Ac6 0.6941 0.2500 0.9961
Ac7 0.8059 0.7500 0.4961
Ac8 0.9896 0.7500 0.8124
Te1 0.0459 0.7500 0.3762
Te2 0.1214 0.2500 0.9437
Te3 0.2293 0.7500 0.7030
Te4 0.2707 0.2500 0.2030
Te5 0.3786 0.7500 0.4437
Te6 0.4541 0.2500 0.8762
Te7 0.5459 0.7500 0.1238
Te8 0.6214 0.2500 0.5563
Te9 0.7293 0.7500 0.7970
Te10 0.7707 0.2500 0.2970
Te11 0.8786 0.7500 0.0563
Te12 0.9541 0.2500 0.6238

Entry 2:
DFT (PBE) results for a relaxed Ac2Te crystal.

Space-group type: I4/mmm

a = 7.6395 Å, b = 7.6395 Å, c = 7.6395 Å
α = 148.66°, β = 148.66°, γ = 44.91°
Atoms (fractional coordinates):
Ac1 0.1424 0.1424 0.0000
Ac2 0.8576 0.8576 0.0000
Te1 0.5000 0.5000 0.0000

Entry 3:
DFT (PBE) results for a relaxed Ac2Te3 crystal.

Space-group type: I4/mmm

a = 9.9770 Å, b = 9.9770 Å, c = 9.9770 Å
α = 155.10°, β = 155.10°, γ = 35.51°
Atoms (fractional coordinates):
Ac1 0.1199 0.1199 0.0000
Ac2 0.8801 0.8801 0.0000
Te1 0.3046 0.3046 0.0000
Te2 0.5000 0.5000 0.0000
Te3 0.6954 0.6954 0.0000

Entry 4:
DFT (PBE) results for a relaxed Ac5Te6 crystal.

Space-group type: C2/m

a = 8.1662 Å, b = 8.1662 Å, c = 8.1571 Å
α = 99.64°, β = 99.64°, γ = 119.83°
Atoms (fractional coordinates):
Ac1 0.0000 0.0000 0.0000
Ac2 0.1656 0.8344 0.5000
Ac3 0.3335 0.6665 0.0000
Ac4 0.6665 0.3335 0.0000
Ac5 0.8344 0.1656 0.5000
Te1 0.0909 0.4183 0.2542
Te2 0.2552 0.2552 0.7443
Te3 0.4183 0.0909 0.2542
Te4 0.5817 0.9091 0.7458
Te5 0.7448 0.7448 0.2557
Te6 0.9091 0.5817 0.7458

Entry 5:
DFT (PBE) results for a relaxed Ac5Te7 crystal.

Space-group type: C2/m

a = 8.1563 Å, b = 8.1563 Å, c = 13.9918 Å
α = 104.30°, β = 104.30°, γ = 32.82°
Atoms (fractional coordinates):
Ac1 0.0000 0.0000 0.0000
Ac2 0.1140 0.1140 0.4227
Ac3 0.2999 0.2999 0.1888
Ac4 0.7001 0.7001 0.8112
Ac5 0.8860 0.8860 0.5773
Te1 0.0418 0.0418 0.7835
Te2 0.2595 0.2595 0.6512
Te3 0.3392 0.3392 0.9513
Te4 0.5000 0.5000 0.5000
Te5 0.6608 0.6608 0.0487
Te6 0.7405 0.7405 0.3488
Te7 0.9582 0.9582 0.2165

Entry 6:
DFT (PBE) results for a relaxed Ac4Te5 crystal.

Space-group type: Immm

a = 9.5014 Å, b = 9.5014 Å, c = 9.5014 Å
α = 154.04°, β = 115.40°, γ = 70.85°
Atoms (fractional coordinates):
Ac1 0.0706 0.8664 0.2042
Ac2 0.3378 0.1336 0.2042
Ac3 0.6622 0.8664 0.7958
Ac4 0.9294 0.1336 0.7958
Te1 0.0000 0.5000 0.5000
Te2 0.2559 0.7559 0.5000
Te3 0.3514 0.5000 0.8514
Te4 0.6486 0.5000 0.1486
Te5 0.7441 0.2441 0.5000

Entry 7:
DFT (PBE) results for a relaxed Ac3Th2Te8 crystal.

Space-group type: Cmmm

a = 9.5862 Å, b = 9.5862 Å, c = 5.5394 Å
α = 90.00°, β = 90.00°, γ = 109.39°
Atoms (fractional coordinates):
Ac1 0.0000 0.0000 0.0000
Ac2 0.2776 0.2776 0.5000
Ac3 0.7224 0.7224 0.5000
Th1 0.2542 0.7458 0.0000
Th2 0.7458 0.2542 0.0000
Te1 0.1166 0.3766 0.0000
Te2 0.1238 0.8762 0.5000
Te3 0.3598 0.6402 0.5000
Te4 0.3766 0.1166 0.0000
Te5 0.6234 0.8834 0.0000
Te6 0.6402 0.3598 0.5000
Te7 0.8762 0.1238 0.5000
Te8 0.8834 0.6234 0.0000

Entry 8:
DFT (PBE) results for a relaxed Ac5Th2Te12 crystal.

Space-group type: C2/m

a = 10.1381 Å, b = 10.1381 Å, c = 10.6259 Å
α = 105.78°, β = 105.78°, γ = 50.77°
Atoms (fractional coordinates):
Ac1 0.0000 0.0000 0.0000
Ac2 0.2946 0.2946 0.1383
Ac3 0.3154 0.3154 0.6727
Ac4 0.6846 0.6846 0.3273
Ac5 0.7054 0.7054 0.8617
Th1 0.2544 0.7456 0.5000
Th2 0.7456 0.2544 0.5000
Te1 0.0141 0.0141 0.3092
Te2 0.0900 0.5565 0.4071
Te3 0.1066 0.5989 0.9358
Te4 0.4011 0.8934 0.0642
Te5 0.4435 0.9100 0.5929
Te6 0.4941 0.4941 0.2785
Te7 0.5059 0.5059 0.7215
Te8 0.5565 0.0900 0.4071
Te9 0.5989 0.1066 0.9358
Te10 0.8934 0.4011 0.0642
Te11 0.9100 0.4435 0.5929
Te12 0.9859 0.9859 0.6908

The calculation returns the following formation energy from raw total energies values, one per record and in order: -1.613; -0.809; -1.415; -1.537; -1.560; -1.213; -1.275; -1.347 eV/atom.